This record from Alexandria via LeMat-Bulk describes a geometry-optimized CeTm2Ge structure. The functional is PBE.

Output
Electronic total energy (eV for the cell shown): -20.63
Energy of formation (meV per atom): -283

Lattice parameters (Å, degrees): 3.5237 3.5237 8.4509 90.00 90.00 90.00
With the nearest neighbours (Å) after each atom.
Space group P4/mmm (No. 123)
Symmetry-distinct sites (fractional):
Ce 0.0000 0.0000 0.0000 (multiplicity 1)  4 Ce 3.52, 8 Tm 3.54
Tm 0.5000 0.5000 0.2973 (multiplicity 2)  4 Ge 3.02
Ge 0.0000 0.0000 0.5000 (multiplicity 1)  8 Tm 3.02


This record from Alexandria via LeMat-Bulk describes a geometry-optimized CsK2Br structure. The functional is PBE.

Output
Electronic total energy (eV for the cell shown): -26.17
Uncorrected formation energy (eV/atom): -0.455

Lattice parameters (Å, degrees): 9.9807 9.9807 9.9807 90.00 90.00 90.00
With the nearest neighbours (Å) after each atom.
Space group Fm-3m (No. 225)
Symmetry-distinct sites (fractional):
Cs 0.0000 0.0000 0.0000 (multiplicity 4)  8 K 4.32
K 0.2500 0.2500 0.2500 (multiplicity 8)  4 Br 4.32, 4 Cs 4.32
Br 0.0000 0.0000 0.5000 (multiplicity 4)  8 K 4.32


This record from Alexandria via LeMat-Bulk describes a geometry-optimized YAl2I structure. The functional is PBE.

Output
Electronic total energy (eV for the cell shown): -59.04
Uncorrected formation energy (eV/atom): 0.185

Lattice parameters (Å, degrees): 8.4659 8.4659 6.0229 90.00 90.00 90.00
With the nearest neighbours (Å) after each atom.
Space group I-42d (No. 122)
Symmetry-distinct sites (fractional):
Y 0.0000 0.0000 0.0000 (multiplicity 4)  2 I 3.01, 4 Al 3.07
Al 0.2473 0.2500 0.1250 (multiplicity 8)  2 Al 3.01, 2 Y 3.07, 2 I 3.10
I 0.0000 0.0000 0.5000 (multiplicity 4)  2 Y 3.01, 4 Al 3.10


This record from Alexandria via LeMat-Bulk describes a geometry-optimized Li3Al11 structure. The functional is PBE.

Output
Electronic total energy (eV for the cell shown): -93.94
Energy of formation (meV per atom): -4

Lattice parameters (Å, degrees): 4.2712 10.3273 11.5717 90.00 90.00 90.00
With the nearest neighbours (Å) after each atom.
Space group Immm (No. 71)
Symmetry-distinct sites (fractional):
Li 0.0000 0.0000 0.0000 (multiplicity 2)  8 Al 2.90, 2 Li 3.21
Li 0.0000 0.0000 0.2777 (multiplicity 4)  14 Al 3.05-3.34, 1 Li 3.21
Al 0.0000 0.1581 0.5000 (multiplicity 4)  8 Al 2.67-2.86
Al 0.0000 0.2843 0.1565 (multiplicity 8)  6 Al 2.67-2.87
Al 0.0000 0.3739 0.3732 (multiplicity 8)  5 Al 2.61-2.71, 2 Li 2.90
Al 0.0000 0.5000 0.0000 (multiplicity 2)  8 Al 2.69-2.87


This record from Alexandria via LeMat-Bulk describes a geometry-optimized Sb4AsBr structure. The functional is PBE.

Output
Electronic total energy (eV for the cell shown): -80.48
Uncorrected formation energy (eV/atom): 0.449

Lattice parameters (Å, degrees): 8.7751 8.7751 8.7751 90.00 90.00 90.00
With the nearest neighbours (Å) after each atom.
Space group F-43m (No. 216)
Symmetry-distinct sites (fractional):
Sb 0.1221 0.1221 0.3779 (multiplicity 16)  6 Sb 3.03-3.17
As 0.0000 0.0000 0.0000 (multiplicity 4)  12 Sb 3.65, 4 Br 3.80
Br 0.2500 0.2500 0.7500 (multiplicity 4)  12 Sb 3.63, 4 As 3.80


This record from Alexandria via LeMat-Bulk describes a geometry-optimized Tc2MoPt structure. The functional is PBE.

Output
Electronic total energy (eV for the cell shown): -76.38
Energy of formation (meV per atom): -147

Lattice parameters (Å, degrees): 3.9293 3.9293 7.7731 90.00 90.00 90.00
With the nearest neighbours (Å) after each atom.
Space group I-4m2 (No. 119)
Symmetry-distinct sites (fractional):
Tc 0.0000 0.0000 0.0000 (multiplicity 2)  4 Tc 2.76, 4 Pt 2.76, 4 Mo 2.78
Tc 0.0000 0.5000 0.2500 (multiplicity 2)  4 Mo 2.76, 4 Tc 2.76, 4 Pt 2.78
Mo 0.0000 0.0000 0.5000 (multiplicity 2)  8 Tc 2.76-2.78, 4 Pt 2.76
Pt 0.0000 0.5000 0.7500 (multiplicity 2)  4 Mo 2.76, 8 Tc 2.76-2.78